The following is a DFT calculation (PBE-GGA) of a geometry-optimized TaCl4F structure.

abc: 12.690 12.690 7.950
angles: 90.00 90.00 90.00
Space group I-4 (No. 82)
Symmetry-distinct sites (fractional):
Ta1 0.049 0.228 0.486 (multiplicity 8)
Cl1 0.042 0.215 0.776 (multiplicity 8)
Cl2 0.043 0.187 0.202 (multiplicity 8)
Cl3 0.057 0.628 0.469 (multiplicity 8)
Cl4 0.189 0.707 0.023 (multiplicity 8)
F1 0.083 0.872 0.497 (multiplicity 8)

E_tot = -31.46 eV/f.u.
total magnetization = 0.00 μB per formula unit